1.
VASP calculation (PBE) on a geometry-optimized AlCuOs structure.

abc: 2.6498 3.8529 8.0155
angles: 90.00 90.00 90.00
Space group Imm2 (No. 44)
One atom of each set of equivalent atoms:
Al  0.0000  0.0000  0.0000 x2
Cu  0.0000  0.0000  0.3303 x2
Os  0.0000  0.0000  0.6618 x2

Calculated values
ΔE_f in eV per formula unit: 0.01
Energy above the most stable polymorph in this dataset in meV/atom: 80

2.
VASP calculation (PBE) on a geometry-optimized AlCuP2Os structure.

abc: 4.2999 4.2999 4.4633
angles: 90.00 90.00 90.00
Space group P4/mmm (No. 123)
One atom of each set of equivalent atoms:
Al  0.0000  0.0000  0.0000 x1
Cu  0.0000  0.0000  0.5000 x1
P  0.0000  0.5000  0.5000 x2
Os  0.5000  0.5000  0.0000 x1

Calculated values
ΔE_f in eV per formula unit: 6.02

3.
VASP calculation (PBE) on a geometry-optimized AlCuOsPb2 structure.

abc: 5.2281 5.2281 4.9234
angles: 90.00 90.00 90.00
Space group P4/mmm (No. 123)
One atom of each set of equivalent atoms:
Al  0.0000  0.0000  0.0000 x1
Cu  0.5000  0.5000  0.0000 x1
Os  0.5000  0.5000  0.5000 x1
Pb  0.0000  0.5000  0.5000 x2

Calculated values
ΔE_f in eV per formula unit: 4.17

4.
VASP calculation (PBE) on a geometry-optimized PmAl3CuOs structure.

abc: 6.5019 12.4490 5.6053
angles: 90.00 90.00 90.00
Space group Cmcm (No. 63)
One atom of each set of equivalent atoms:
Pm  0.0000  0.2303  0.2500 x4
Al  0.0000  0.3528  0.7500 x4
Al  0.1957  0.0000  0.0000 x8
Cu  0.0000  0.1481  0.7500 x4
Os  0.0000  0.4505  0.2500 x4

Calculated values
ΔE_f in eV per formula unit: -1.13

5.
VASP calculation (PBE) on a geometry-optimized PmAl4Cu2Os structure.

abc: 4.1889 4.1889 27.2783
angles: 90.00 90.00 120.00
Space group R-3m (No. 166, hexagonal axes)
One atom of each set of equivalent atoms:
Pm  0.0000  0.0000  0.0000 x3
Al  0.0000  0.0000  0.1340 x6
Al  0.0000  0.0000  0.4060 x6
Cu  0.0000  0.0000  0.2320 x6
Os  0.0000  0.0000  0.5000 x3

Calculated values
ΔE_f in eV per formula unit: -2.56

6.
VASP calculation (PBE) on a geometry-optimized AlCuSb2Os structure.

abc: 4.8665 4.8665 4.7675
angles: 90.00 90.00 90.00
Space group P4/mmm (No. 123)
One atom of each set of equivalent atoms:
Al  0.0000  0.0000  0.0000 x1
Cu  0.5000  0.5000  0.5000 x1
Sb  0.0000  0.5000  0.5000 x2
Os  0.5000  0.5000  0.0000 x1

Calculated values
Energy relative to the elements, uncorrected in eV per atom: 1.17

7.
VASP calculation (PBE) on a geometry-optimized Sc4AlCu2Os structure.

abc: 4.6424 4.6424 22.8853
angles: 90.00 90.00 120.00
Space group R-3m (No. 166, hexagonal axes)
One atom of each set of equivalent atoms:
Sc  0.0000  0.0000  0.1184 x6
Sc  0.0000  0.0000  0.3696 x6
Al  0.0000  0.0000  0.5000 x3
Cu  0.0000  0.0000  0.2440 x6
Os  0.0000  0.0000  0.0000 x3

Calculated values
ΔE_f in eV per formula unit: -3.18

8.
VASP calculation (PBE) on a geometry-optimized TaAlCu2Os structure.

abc: 4.2099 4.2099 4.5769
angles: 90.00 90.00 90.00
Space group P4/mmm (No. 123)
One atom of each set of equivalent atoms:
Ta  0.0000  0.0000  0.0000 x1
Al  0.5000  0.5000  0.5000 x1
Cu  0.0000  0.5000  0.5000 x2
Os  0.5000  0.5000  0.0000 x1

Calculated values
ΔE_f in eV per formula unit: 4.81